# 1
Here is Er2CdSn3 after structural relaxation from Alexandria. Energies are from PBE.

The space group is Cmcm (No. 63) and the conventional cell measures 14.1703, 10.0769 and 4.8610 Å, with angles of 90.00, 90.00 and 90.00 degrees. The inequivalent atoms are Er at (0.1272, 0.1319, 0.2500), Cd at (0.0000, 0.1851, 0.7500), Sn at (0.0000, 0.3955, 0.2500) and Sn at (0.2282, 0.3970, 0.2500).

The calculation puts the calculated volume at 694 Å³ per cell. The value obtained for the density is 7.68 g cm⁻³. Its energy of formation is -1.40 eV/f.u. The total energy is -3.9080 eV/atom.

# 2
Here is Er3CdSn3 after structural relaxation from Alexandria. Energies are from PBE.

The space group is P6_3/m (No. 176) and the conventional cell measures 9.1536, 9.1536 and 6.1047 Å, with angles of 90.00, 90.00 and 120.00 degrees. The inequivalent atoms are Er at (0.0385, 0.6810, 0.2500), Cd at (0.3333, 0.6667, 0.7500) and Sn at (0.0318, 0.6900, 0.7500).

The calculation puts the calculated volume at 443 Å³ per cell. The value obtained for the density is 7.27 g cm⁻³. Its energy of formation is -2.32 eV/f.u. The total energy is -4.1330 eV/atom.

# 3
Here is ErCd4Sn after structural relaxation from Alexandria. Energies are from PBE.

The space group is F-43m (No. 216) and the conventional cell measures 8.3645, 8.3645 and 8.3645 Å, with angles of 90.00, 90.00 and 90.00 degrees. The inequivalent atoms are Er at (0.0000, 0.0000, 0.0000), Cd at (0.1252, 0.1252, 0.3748) and Sn at (0.2500, 0.2500, 0.7500).

The calculation puts the calculated volume at 585 Å³ per cell. The value obtained for the density is 8.35 g cm⁻³. Its energy of formation is -0.51 eV/f.u. The total energy is -2.1220 eV/atom.